The following is a PBE calculation of a geometry-optimized Al2TeRh structure, from the Alexandria database.

Values from the calculation:
- raw total energy (eV per atom) = -4.83

a b c (Å): 4.4179 4.4179 5.9363
angles (deg): 73.07 73.07 53.48
Last column: nearest neighbours and their distance in Å.
Sites, in units of the cell vectors:
Rh: 0.4979 0.4979 0.3536  5 Al 2.44-2.56
Al: 0.1953 0.1953 0.3295  3 Rh 2.44-2.50, 1 Al 2.73
Te: 0.8718 0.8718 0.6968  2 Al 2.72-2.76, 2 Rh 2.79
Al: 0.9350 0.9350 0.1200  2 Rh 2.56, 1 Te 2.72, 3 Al 2.73-2.75


The following is a PBE calculation of a geometry-optimized Al2TeRh structure, from the Alexandria database.

Values from the calculation:
- raw total energy (eV per atom) = -4.56

a b c (Å): 8.1305 8.1305 8.1305
angles (deg): 23.71 23.71 23.71
Last column: nearest neighbours and their distance in Å.
Sites, in units of the cell vectors:
Al: 0.2428 0.2428 0.2428  3 Rh 2.56, 3 Al 2.82
Rh: 0.5054 0.5054 0.5054  3 Al 2.56, 3 Te 2.76
Te: 0.7556 0.7556 0.7556  3 Rh 2.76, 3 Al 2.92
Al: 0.9962 0.9962 0.9962  3 Al 2.82, 3 Te 2.92


The following is a PBE calculation of a geometry-optimized Al2TeRh structure, from the Alexandria database.

Values from the calculation:
- raw total energy (eV per atom) = -4.65

a b c (Å): 3.0758 3.0758 7.9051
angles (deg): 90.00 90.00 90.00
Last column: nearest neighbours and their distance in Å.
Sites, in units of the cell vectors:
Te: 0.5000 0.5000 0.7084  4 Rh 2.96, 4 Te 3.08
Al: 0.5000 0.5000 0.2831  4 Rh 2.56, 4 Al 2.83
Rh: 0.0000 0.0000 0.4536  4 Al 2.56
Al: 0.0000 0.0000 0.0549  8 Al 2.83-3.08, 1 Rh 3.15


The following is a PBE calculation of a geometry-optimized AlTe4Rh structure, from the Alexandria database.

Values from the calculation:
- raw total energy (eV per atom) = -3.07

a b c (Å): 6.2247 6.2247 6.2247
angles (deg): 60.00 60.00 60.00
Last column: nearest neighbours and their distance in Å.
Sites, in units of the cell vectors:
Te: 0.3740 0.3740 0.3740  6 Te 3.09-3.14
Te: 0.8781 0.3740 0.3740  6 Te 3.09-3.14
Al: 0.7500 0.7500 0.7500  12 Te 3.65, 4 Rh 3.81
Te: 0.3740 0.3740 0.8781  6 Te 3.09-3.14
Te: 0.3740 0.8781 0.3740  6 Te 3.09-3.14
Rh: 0.0000 0.0000 0.0000  12 Te 3.65, 4 Al 3.81


The following is a PBE calculation of a geometry-optimized Al2TeRh structure, from the Alexandria database.

Values from the calculation:
- raw total energy (eV per atom) = -4.48

a b c (Å): 4.9500 4.9500 4.9500
angles (deg): 128.44 128.44 75.91
Last column: nearest neighbours and their distance in Å.
Sites, in units of the cell vectors:
Te: 0.7500 0.2500 0.5000  4 Rh 2.91, 8 Al 2.91-3.04
Al: 0.2500 0.7500 0.5000  4 Al 2.91, 4 Rh 2.91, 4 Te 3.04
Rh: 0.5000 0.5000 0.0000  8 Al 2.91-3.04, 4 Te 2.91
Al: 0.0000 0.0000 0.0000  4 Al 2.91, 4 Te 2.91, 4 Rh 3.04


The following is a PBE calculation of a geometry-optimized Al2TeRh structure, from the Alexandria database.

Values from the calculation:
- raw total energy (eV per atom) = -4.55

a b c (Å): 4.7154 4.7154 3.3902
angles (deg): 89.92 89.92 109.07
Last column: nearest neighbours and their distance in Å.
Sites, in units of the cell vectors:
Al: 0.0000 0.0000 0.0000  2 Al 2.74, 4 Te 2.90-2.91, 4 Rh 2.90-2.91
Rh: 0.5000 0.0000 0.5000  2 Te 2.74, 8 Al 2.90-2.91
Al: 0.5000 0.5000 0.0000  2 Al 2.74, 4 Rh 2.90-2.91, 4 Te 2.90-2.91
Te: 0.0000 0.5000 0.5000  2 Rh 2.74, 8 Al 2.90-2.91


The following is a PBE calculation of a geometry-optimized Al2TeRh structure, from the Alexandria database.

Values from the calculation:
- raw total energy (eV per atom) = -4.55

a b c (Å): 5.1011 5.1011 5.1011
angles (deg): 137.86 123.96 72.53
Last column: nearest neighbours and their distance in Å.
Sites, in units of the cell vectors:
Rh: 0.7500 0.2500 0.5000  4 Al 2.63
Al: 0.5213 0.5213 0.0000  2 Rh 2.63, 2 Te 2.89
Al: 0.9787 0.9787 0.0000  2 Rh 2.63, 2 Te 2.89
Te: 0.2500 0.7500 0.5000  8 Al 2.89-3.05, 4 Rh 3.02


The following is a PBE calculation of a geometry-optimized AlTeRh4 structure, from the Alexandria database.

Values from the calculation:
- raw total energy (eV per atom) = -5.91

a b c (Å): 5.2132 5.2132 5.2132
angles (deg): 60.00 60.00 60.00
Last column: nearest neighbours and their distance in Å.
Sites, in units of the cell vectors:
Rh: 0.3751 0.3751 0.8748  6 Rh 2.61
Rh: 0.3751 0.8748 0.3751  6 Rh 2.61
Rh: 0.8748 0.3751 0.3751  6 Rh 2.61
Te: 0.7500 0.7500 0.7500  12 Rh 3.06, 4 Al 3.19
Rh: 0.3751 0.3751 0.3751  6 Rh 2.61
Al: 0.0000 0.0000 0.0000  12 Rh 3.06, 4 Te 3.19


The following is a PBE calculation of a geometry-optimized Al2TeRh structure, from the Alexandria database.

Values from the calculation:
- raw total energy (eV per atom) = -4.71

a b c (Å): 3.8796 3.8796 6.5819
angles (deg): 74.71 74.71 57.23
Last column: nearest neighbours and their distance in Å.
Sites, in units of the cell vectors:
Te: 0.7500 0.7500 0.7500  6 Al 2.93-2.95
Al: 0.9809 0.9809 0.0602  3 Rh 2.51
Al: 0.5191 0.5191 0.4398  3 Rh 2.51
Rh: 0.2500 0.2500 0.2500  6 Al 2.51


The following is a PBE calculation of a geometry-optimized Al2TeRh structure, from the Alexandria database.

Values from the calculation:
- raw total energy (eV per atom) = -4.79

a b c (Å): 3.0388 3.0388 7.9942
angles (deg): 90.00 90.00 90.00
Last column: nearest neighbours and their distance in Å.
Sites, in units of the cell vectors:
Rh: 0.5000 0.5000 0.2500  8 Al 2.61
Te: 0.5000 0.5000 0.7500  4 Te 3.04, 8 Al 3.31
Al: 0.0000 0.0000 0.0642  4 Rh 2.61
Al: 0.0000 0.0000 0.4358  4 Rh 2.61


The following is a PBE calculation of a geometry-optimized AlTeRh3 structure, from the Alexandria database.

Values from the calculation:
- E above lowest polymorph (eV per formula unit) = 0.000

a b c (Å): 4.5241 4.5241 4.5241
angles (deg): 90.00 90.00 90.00
Last column: nearest neighbours and their distance in Å.
Sites, in units of the cell vectors:
Rh: 0.0000 0.0000 0.5000  2 Al 2.26
Al: 0.0000 0.0000 0.0000  6 Rh 2.26
Rh: 0.0000 0.5000 0.0000  2 Al 2.26
Te: 0.5000 0.5000 0.5000  12 Rh 3.20
Rh: 0.5000 0.0000 0.0000  2 Al 2.26


The following is a PBE calculation of a geometry-optimized Al2TeRh structure, from the Alexandria database.

Values from the calculation:
- raw total energy (eV per atom) = -4.55

a b c (Å): 6.1082 6.1082 6.9902
angles (deg): 64.09 64.09 90.00
Last column: nearest neighbours and their distance in Å.
Sites, in units of the cell vectors:
Al: 0.3750 0.4271 0.7500  2 Rh 2.38
Te: 0.7500 0.2500 0.5000  4 Al 2.76
Rh: 0.2500 0.7500 0.5000  4 Al 2.38
Al: 0.8750 0.8229 0.7500  2 Rh 2.38
Al: 0.1771 0.6250 0.2500  2 Rh 2.38
Rh: 0.5000 0.5000 0.0000  4 Al 2.38
Al: 0.5729 0.1250 0.2500  2 Rh 2.38
Te: 0.0000 0.0000 0.0000  4 Al 2.76